(1)
# Pm7Ho2Sc2 (PBE-GGA, relaxed)
data_Pm7Ho2Sc2
_cell_length_a 3.5714
_cell_length_b 17.4682
_cell_length_c 11.5611
_cell_angle_alpha 90.00
_cell_angle_beta 90.00
_cell_angle_gamma 90.00
_space_group_name_H-M_alt 'I m m 2'
_space_group_IT_number 44
_space_group_name_Hall 'I 2 -2'
loop_
_atom_site_label
_atom_site_type_symbol
_atom_site_fract_x
_atom_site_fract_y
_atom_site_fract_z
Pm1 Pm 0.0000 0.0000 0.0000
Pm2 Pm 0.0000 0.1591 0.5126
Pm3 Pm 0.0000 0.3101 0.7556
Pm4 Pm 0.0000 0.3793 0.2846
Ho1 Ho 0.0000 0.0000 0.3023
Ho2 Ho 0.0000 0.5000 0.0554
Sc1 Sc 0.0000 0.1836 0.0062
# Total energy (eV/atom): -4.854
# ΔH_f (0 K) (kJ/mol of formula units): 162
# Magnetization (μB/cell): 0.001
# Polymorph energy (0 for the lowest one) (eV/atom): 0.0033

---

(2)
# Ho2MgPb (PBE-GGA, relaxed)
data_Ho2MgPb
_cell_length_a 3.4821
_cell_length_b 3.4821
_cell_length_c 34.7106
_cell_angle_alpha 90.00
_cell_angle_beta 90.00
_cell_angle_gamma 120.00
_space_group_name_H-M_alt 'R -3 m'
_space_group_IT_number 166
_space_group_name_Hall '-R 3 2"'
loop_
_atom_site_label
_atom_site_type_symbol
_atom_site_fract_x
_atom_site_fract_y
_atom_site_fract_z
Ho1 Ho 0.0000 0.0000 0.0913
Mg1 Mg 0.0000 0.0000 0.5000
Pb1 Pb 0.0000 0.0000 0.0000
# Total energy (eV/atom): -3.547
# ΔH_f (0 K) (kJ/mol of formula units): 26
# Magnetization (μB/cell): 0.000

---

(3)
# InOsAu2 (PBE-GGA, relaxed)
data_InOsAu2
_cell_length_a 5.6605
_cell_length_b 8.0783
_cell_length_c 3.1001
_cell_angle_alpha 90.00
_cell_angle_beta 90.00
_cell_angle_gamma 90.00
_space_group_name_H-M_alt 'C m m m'
_space_group_IT_number 65
_space_group_name_Hall '-C 2 2'
loop_
_atom_site_label
_atom_site_type_symbol
_atom_site_fract_x
_atom_site_fract_y
_atom_site_fract_z
In1 In 0.0000 0.0000 0.0000
Os1 Os 0.0000 0.5000 0.0000
Au1 Au 0.2500 0.2500 0.5000
# Total energy (eV/atom): -4.719
# ΔH_f (0 K) (kJ/mol of formula units): 159
# Magnetization (μB/cell): 0.000

---

(4)
# CsPdCl (PBE-GGA, relaxed)
data_CsPdCl
_cell_length_a 5.6233
_cell_length_b 10.0101
_cell_length_c 7.7880
_cell_angle_alpha 90.00
_cell_angle_beta 90.00
_cell_angle_gamma 90.00
_space_group_name_H-M_alt 'I m m 2'
_space_group_IT_number 44
_space_group_name_Hall 'I 2 -2'
loop_
_atom_site_label
_atom_site_type_symbol
_atom_site_fract_x
_atom_site_fract_y
_atom_site_fract_z
Cs1 Cs 0.0000 0.2465 0.0000
Pd1 Pd 0.2497 0.0000 0.2579
Cl1 Cl 0.0000 0.0000 0.5096
Cl2 Cl 0.0000 0.5000 0.5063
# Total energy (eV/atom): -3.451
# E_form (uncorrected) (eV per atom): -0.8205
# Magnetization (μB/cell): 0.000
# Polymorph energy (0 for the lowest one) (eV/atom): 0.0220

---

(5)
# HgBiPb14 (PBE-GGA, relaxed)
data_HgBiPb14
_cell_length_a 9.8741
_cell_length_b 10.2241
_cell_length_c 9.9102
_cell_angle_alpha 90.00
_cell_angle_beta 90.00
_cell_angle_gamma 90.00
_space_group_name_H-M_alt 'C m m m'
_space_group_IT_number 65
_space_group_name_Hall '-C 2 2'
loop_
_atom_site_label
_atom_site_type_symbol
_atom_site_fract_x
_atom_site_fract_y
_atom_site_fract_z
Hg1 Hg 0.0000 0.0000 0.0000
Bi1 Bi 0.0000 0.5000 0.0000
Pb1 Pb 0.0000 0.0000 0.5000
Pb2 Pb 0.0000 0.2496 0.2503
Pb3 Pb 0.0000 0.5000 0.5000
Pb4 Pb 0.2487 0.0000 0.2484
Pb5 Pb 0.2500 0.2500 0.0000
Pb6 Pb 0.2500 0.2500 0.5000
# Total energy (eV/atom): -3.504
# ΔH_f (0 K) (kJ/mol of formula units): 3
# Magnetization (μB/cell): 0.000

---

(6)
# Ti3ReIr2 (PBE-GGA, relaxed)
data_Ti3ReIr2
_cell_length_a 3.1407
_cell_length_b 3.1407
_cell_length_c 9.1878
_cell_angle_alpha 90.00
_cell_angle_beta 90.00
_cell_angle_gamma 90.00
_space_group_name_H-M_alt 'P 4/m m m'
_space_group_IT_number 123
_space_group_name_Hall '-P 4 2'
loop_
_atom_site_label
_atom_site_type_symbol
_atom_site_fract_x
_atom_site_fract_y
_atom_site_fract_z
Ti1 Ti 0.0000 0.0000 0.0000
Ti2 Ti 0.0000 0.0000 0.3377
Re1 Re 0.5000 0.5000 0.5000
Ir1 Ir 0.5000 0.5000 0.1633
# Total energy (eV/atom): -9.734
# ΔH_f (0 K) (kJ/mol of formula units): -439
# Magnetization (μB/cell): 0.000
# Polymorph energy (0 for the lowest one) (eV/atom): 0.0237

---

(7)
# GaGe2Mo2 (PBE-GGA, relaxed)
data_GaGe2Mo2
_cell_length_a 6.8948
_cell_length_b 6.8948
_cell_length_c 3.4317
_cell_angle_alpha 90.00
_cell_angle_beta 90.00
_cell_angle_gamma 90.00
_space_group_name_H-M_alt 'P 4/m b m'
_space_group_IT_number 127
_space_group_name_Hall '-P 4 2ab'
loop_
_atom_site_label
_atom_site_type_symbol
_atom_site_fract_x
_atom_site_fract_y
_atom_site_fract_z
Ga1 Ga 0.0000 0.0000 0.0000
Ge1 Ge 0.1469 0.3531 0.5000
Mo1 Mo 0.1498 0.6498 0.0000
# Total energy (eV/atom): -6.816
# ΔH_f (0 K) (kJ/mol of formula units): -15
# Magnetization (μB/cell): 0.000
# Polymorph energy (0 for the lowest one) (eV/atom): 0.0000

---

(8)
# Rb2BeCdIn (PBE-GGA, relaxed)
data_Rb2BeCdIn
_cell_length_a 7.0388
_cell_length_b 7.0388
_cell_length_c 5.2830
_cell_angle_alpha 90.00
_cell_angle_beta 90.00
_cell_angle_gamma 90.00
_space_group_name_H-M_alt 'P 4/m m m'
_space_group_IT_number 123
_space_group_name_Hall '-P 4 2'
loop_
_atom_site_label
_atom_site_type_symbol
_atom_site_fract_x
_atom_site_fract_y
_atom_site_fract_z
Rb1 Rb 0.0000 0.5000 0.0000
Be1 Be 0.0000 0.0000 0.5000
Cd1 Cd 0.5000 0.5000 0.0000
In1 In 0.5000 0.5000 0.5000
# Total energy (eV/atom): -1.156
# ΔH_f (0 K) (kJ/mol of formula units): 341
# Magnetization (μB/cell): 0.000